Material: NaMg2OsS
Method: DFT, PBE
State: relaxed

CIF file:
```
data_NaMg2OsS
_cell_length_a 5.0151
_cell_length_b 5.0151
_cell_length_c 4.4368
_cell_angle_alpha 90.00
_cell_angle_beta 90.00
_cell_angle_gamma 90.00
_space_group_name_H-M_alt 'P 1'
_space_group_IT_number 1
loop_
_space_group_symop_operation_xyz
'x,y,z'
loop_
_atom_site_label
_atom_site_type_symbol
_atom_site_fract_x
_atom_site_fract_y
_atom_site_fract_z
Na1 Na 0.0000 0.0000 0.0000
Mg1 Mg 0.0000 0.5000 0.0000
Mg2 Mg 0.5000 0.0000 0.0000
Os1 Os 0.5000 0.5000 0.5000
S1 S 0.0000 0.0000 0.5000
```

Output
Raw formation energy ... 1.352 eV per atom

Material: LiZrAuS2
Method: DFT, PBE
State: relaxed

CIF file:
```
data_LiZrAuS2
_cell_length_a 4.9187
_cell_length_b 4.9187
_cell_length_c 4.2582
_cell_angle_alpha 90.00
_cell_angle_beta 90.00
_cell_angle_gamma 90.00
_space_group_name_H-M_alt 'P 1'
_space_group_IT_number 1
loop_
_space_group_symop_operation_xyz
'x,y,z'
loop_
_atom_site_label
_atom_site_type_symbol
_atom_site_fract_x
_atom_site_fract_y
_atom_site_fract_z
Li1 Li 0.0000 0.0000 0.0000
Zr1 Zr 0.5000 0.5000 0.0000
Au1 Au 0.0000 0.0000 0.5000
S1 S 0.0000 0.5000 0.5000
S2 S 0.5000 0.0000 0.5000
```

Output
Raw formation energy ... 0.157 eV per atom

Material: Li7PmMg5
Method: DFT, PBE
State: relaxed

CIF file:
```
data_Li7PmMg5
_cell_length_a 7.6667
_cell_length_b 7.6667
_cell_length_c 7.6667
_cell_angle_alpha 134.72
_cell_angle_beta 97.32
_cell_angle_gamma 99.73
_space_group_name_H-M_alt 'P 1'
_space_group_IT_number 1
loop_
_space_group_symop_operation_xyz
'x,y,z'
loop_
_atom_site_label
_atom_site_type_symbol
_atom_site_fract_x
_atom_site_fract_y
_atom_site_fract_z
Li1 Li 0.0000 0.0000 0.0000
Li2 Li 0.0089 0.6526 0.3563
Li3 Li 0.2963 0.6526 0.6437
Li4 Li 0.2985 0.2985 0.0000
Li5 Li 0.4346 0.1547 0.2799
Li6 Li 0.4532 0.9532 0.5000
Li7 Li 0.8748 0.1547 0.7201
Pm1 Pm 0.6520 0.6520 0.0000
Mg1 Mg 0.1608 0.1552 0.5053
Mg2 Mg 0.1608 0.6555 0.0056
Mg3 Mg 0.6499 0.1552 0.9944
Mg4 Mg 0.6499 0.6555 0.4947
Mg5 Mg 0.8500 0.3500 0.5000
```

Output
ΔH_f (0 K) ... 4.0 meV/atom

Material: Zr2MnCoH
Method: DFT, PBE
State: relaxed

CIF file:
```
data_Zr2MnCoH
_cell_length_a 4.5270
_cell_length_b 4.5270
_cell_length_c 3.3142
_cell_angle_alpha 90.00
_cell_angle_beta 90.00
_cell_angle_gamma 90.00
_space_group_name_H-M_alt 'P 1'
_space_group_IT_number 1
loop_
_space_group_symop_operation_xyz
'x,y,z'
loop_
_atom_site_label
_atom_site_type_symbol
_atom_site_fract_x
_atom_site_fract_y
_atom_site_fract_z
Zr1 Zr 0.0000 0.5000 0.0000
Zr2 Zr 0.5000 0.0000 0.0000
Mn1 Mn 0.0000 0.0000 0.5000
Co1 Co 0.5000 0.5000 0.5000
H1 H 0.0000 0.0000 0.0000
```

Output
E ... -7.5518 eV per atom